No. 1
Material: BeTeSeBr2
Method: DFT, PBE
State: optimized geometry

Values from the calculation:
SG: P4/mmm
Offset from the most stable computed form (eV/atom): 0.6157
Energy (eV per atom): -2.08
Calculated density (g/cm3): 3.7
E_form (uncorrected) (kJ per mole of atoms): 63.4

Lattice parameters (Å, degrees): 5.567 5.567 5.477 90.00 90.00 90.00
Atoms (fractional coordinates):
Be 0.000 0.000 0.000
Te 0.500 0.500 0.500
Se 0.500 0.500 0.000
Br 0.000 0.500 0.500
Br 0.500 0.000 0.500

No. 2
Material: CoSi2Au
Method: DFT, PBE
State: optimized geometry

Values from the calculation:
SG: R-3m
Offset from the most stable computed form (eV/atom): 0.1010
Energy (eV per atom): -5.33
Calculated density (g/cm3): 9.3
E_form (uncorrected) (kJ per mole of atoms): -2.1

Lattice parameters (Å, degrees): 2.856 2.856 23.569 90.00 90.00 120.00
Atoms (fractional coordinates):
Co 0.000 0.000 0.000
Co 0.333 0.667 0.667
Co 0.667 0.333 0.333
Si 0.000 0.000 0.261
Si 0.000 0.000 0.739
Si 0.333 0.667 0.406
Si 0.333 0.667 0.928
Si 0.667 0.333 0.072
Si 0.667 0.333 0.594
Au 0.000 0.000 0.500
Au 0.333 0.667 0.167
Au 0.667 0.333 0.833

No. 3
Material: ScTlCu3
Method: DFT, PBE
State: optimized geometry

Values from the calculation:
SG: Pm-3m
Offset from the most stable computed form (eV/atom): 0.0000
Energy (eV per atom): -3.46
Calculated density (g/cm3): 6.6
ΔE_f (meV/atom): 741

Lattice parameters (Å, degrees): 4.804 4.804 4.804 90.00 90.00 90.00
Atoms (fractional coordinates):
Sc 0.000 0.000 0.000
Tl 0.500 0.500 0.500
Cu 0.000 0.500 0.500
Cu 0.500 0.000 0.500
Cu 0.500 0.500 0.000

No. 4
Material: Cu2Ni2Au
Method: DFT, PBE
State: optimized geometry

Values from the calculation:
SG: P4/mbm
Offset from the most stable computed form (eV/atom): 0.0000
Energy (eV per atom): -4.46
Calculated density (g/cm3): 11.3
ΔE_f (meV/atom): 148

Lattice parameters (Å, degrees): 6.937 6.937 2.696 90.00 90.00 90.00
Atoms (fractional coordinates):
Cu 0.171 0.329 0.000
Cu 0.329 0.829 0.000
Cu 0.671 0.171 0.000
Cu 0.829 0.671 0.000
Ni 0.123 0.623 0.500
Ni 0.377 0.123 0.500
Ni 0.623 0.877 0.500
Ni 0.877 0.377 0.500
Au 0.000 0.000 0.500
Au 0.500 0.500 0.500

No. 5
Material: Ce2DyAl
Method: DFT, PBE
State: optimized geometry

Values from the calculation:
SG: Pmmn
Offset from the most stable computed form (eV/atom): 0.0000
Energy (eV per atom): -5.24
Calculated density (g/cm3): 7.5
ΔE_f (meV/atom): -182

Lattice parameters (Å, degrees): 4.991 6.365 6.550 90.00 90.00 90.00
Atoms (fractional coordinates):
Ce 0.250 0.032 0.112
Ce 0.250 0.468 0.112
Ce 0.750 0.532 0.888
Ce 0.750 0.968 0.888
Dy 0.250 0.250 0.602
Dy 0.750 0.750 0.398
Al 0.250 0.750 0.675
Al 0.750 0.250 0.325

No. 6
Material: KYAgI5
Method: DFT, PBE
State: optimized geometry

Values from the calculation:
SG: C2/c
Energy (eV per atom): -3.38
Calculated density (g/cm3): 4.0
E_form (uncorrected) (kJ per mole of atoms): -107.4

Lattice parameters (Å, degrees): 8.441 8.441 11.412 102.74 102.74 108.06
Atoms (fractional coordinates):
K 0.137 0.863 0.750
K 0.863 0.137 0.250
Y 0.500 0.500 0.000
Y 0.500 0.500 0.500
Ag 0.190 0.810 0.250
Ag 0.810 0.190 0.750
I 0.123 0.256 0.948
I 0.177 0.572 0.391
I 0.256 0.123 0.448
I 0.415 0.585 0.750
I 0.428 0.823 0.109
I 0.572 0.177 0.891
I 0.585 0.415 0.250
I 0.744 0.877 0.552
I 0.823 0.428 0.609
I 0.877 0.744 0.052

No. 7
Material: Th5Re2Bi2
Method: DFT, PBE
State: optimized geometry

Values from the calculation:
SG: Cmce
Energy (eV per atom): -8.04
Calculated density (g/cm3): 12.2
ΔE_f (meV/atom): -293

Lattice parameters (Å, degrees): 9.119 9.119 8.048 90.00 90.00 52.50
Atoms (fractional coordinates):
Th 0.000 0.000 0.000
Th 0.048 0.723 0.661
Th 0.223 0.548 0.161
Th 0.277 0.952 0.661
Th 0.452 0.777 0.161
Th 0.500 0.500 0.500
Th 0.548 0.223 0.839
Th 0.723 0.048 0.339
Th 0.777 0.452 0.839
Th 0.952 0.277 0.339
Re 0.136 0.864 0.364
Re 0.364 0.636 0.864
Re 0.636 0.364 0.136
Re 0.864 0.136 0.636
Bi 0.211 0.211 0.000
Bi 0.289 0.289 0.500
Bi 0.711 0.711 0.500
Bi 0.789 0.789 0.000

No. 8
Material: K3Hg6Au2
Method: DFT, PBE
State: optimized geometry

Values from the calculation:
SG: I4/mmm
Energy (eV per atom): -1.27
Calculated density (g/cm3): 8.2
ΔE_f (meV/atom): -205

Lattice parameters (Å, degrees): 14.429 14.429 14.429 160.15 160.15 28.21
Atoms (fractional coordinates):
K 0.000 0.000 0.000
K 0.199 0.199 0.000
K 0.801 0.801 0.000
Hg 0.104 0.604 0.500
Hg 0.326 0.326 0.000
Hg 0.396 0.896 0.500
Hg 0.604 0.104 0.500
Hg 0.674 0.674 0.000
Hg 0.896 0.396 0.500
Au 0.452 0.452 0.000
Au 0.548 0.548 0.000